# NdCu4Au

A geometry-optimized NdCu4Au structure (PBE-GGA, the Alexandria database).

```
data_NdCu4Au
_chemical_formula_sum 'Nd1 Cu4 Au1'
_cell_length_a 5.120
_cell_length_b 5.120
_cell_length_c 5.120
_cell_angle_alpha 60.00
_cell_angle_beta 60.00
_cell_angle_gamma 60.00
_space_group_name_H-M_alt 'P 1'
_space_group_IT_number 1
loop_
_space_group_symop_operation_xyz
'x,y,z'
loop_
_atom_site_label
_atom_site_fract_x
_atom_site_fract_y
_atom_site_fract_z
Nd1 0.000 0.000 0.000
Cu1 0.377 0.377 0.377
Cu2 0.377 0.377 0.870
Cu3 0.377 0.870 0.377
Cu4 0.870 0.377 0.377
Au1 0.750 0.750 0.750
```

Total energy = -4.348 eV/atom
Energy of formation = -0.28 eV per atom